w:
VASP calculation (PBE) on a relaxed Ga3HgCl crystal.

## Properties
* SG: Pm-3m (221)
* N(E_F): 0.540 states/eV per atom

Cell: 5.323 5.323 5.323 Å, 90.00 90.00 90.00°
Atoms (fractional coordinates):
Hg  0.000  0.000  0.000
Ga  0.000  0.500  0.000
Ga  0.000  0.000  0.500
Ga  0.500  0.000  0.000
Cl  0.500  0.500  0.500

***

x:
VASP calculation (PBE) on a relaxed Ga3HgCl crystal.

## Properties
* SG: Pm-3m (221)
* N(E_F): 0.517 states/eV per atom

Cell: 5.388 5.388 5.388 Å, 90.00 90.00 90.00°
Atoms (fractional coordinates):
Hg  0.500  0.500  0.500
Ga  0.000  0.500  0.000
Ga  0.000  0.000  0.500
Ga  0.500  0.000  0.000
Cl  0.000  0.000  0.000

***

Taking the most stable structure as the zero point, the relative energies in meV per atom are w 0; x 66.

***

w:
VASP calculation (PBE) on a relaxed GaICl crystal.

## Properties
* SG: P-1 (2)
* N(E_F): 0.508 states/eV per atom

Cell: 3.431 7.212 9.330 Å, 106.06 90.12 89.91°
Atoms (fractional coordinates):
Ga  0.249  0.042  0.899
Ga  0.751  0.958  0.101
I  0.249  0.751  0.653
I  0.751  0.249  0.347
Cl  0.748  0.249  0.843
Cl  0.252  0.751  0.157

***

x:
VASP calculation (PBE) on a relaxed GaICl crystal.

## Properties
* SG: P3m1 (156)
* N(E_F): 1.014 states/eV per atom

Cell: 6.907 3.991 3.991 Å, 120.00 90.00 90.00°
Atoms (fractional coordinates):
I  0.756  0.667  0.333
Ga  0.017  0.000  0.000
Cl  0.227  0.333  0.667

***

y:
VASP calculation (PBE) on a relaxed GaICl crystal.

## Properties
* SG: P-1 (2)
* N(E_F): 0.000 states/eV per atom

Cell: 4.096 8.969 6.890 Å, 76.37 90.05 76.71°
Atoms (fractional coordinates):
Ga  0.795  0.952  0.543
Ga  0.651  0.240  0.497
I  0.107  0.327  0.709
I  0.338  0.865  0.331
Cl  0.569  0.402  0.204
Cl  0.877  0.790  0.837

***

Taking the most stable structure as the zero point, the relative energies in meV per atom are w 182; x 266; y 0.